[1]
First-principles (PBE) data for a geometry-optimized NaGdAu2 structure, as listed in Alexandria via LeMat-Bulk.

Properties
Its space group is Fm-3m, No. 225. The value obtained for the polymorph energy (0 for the lowest one) is 0 meV per atom. Its total energy is -6.080 eV per atom.

abc: 5.0285 5.0285 5.0285
angles: 60.00 60.00 60.00
Closest atoms and distances in Å follow each position.
Positions (direct):
Na1 0.5000 0.5000 0.5000  8 Au 3.08
Gd1 0.0000 0.0000 0.0000  8 Au 3.08
Au1 0.2500 0.2500 0.2500  4 Gd 3.08, 4 Na 3.08
Au2 0.7500 0.7500 0.7500  4 Gd 3.08, 4 Na 3.08



[2]
First-principles (PBE) data for a geometry-optimized NaGdAu structure, as listed in Alexandria via LeMat-Bulk.

Properties
Its space group is I4mm, No. 107. Its total energy is -6.554 eV per atom.

abc: 3.6898 3.6898 6.7035
angles: 105.98 105.98 90.00
Closest atoms and distances in Å follow each position.
Positions (direct):
Na1 0.5933 0.5933 0.1865  4 Au 3.25, 1 Gd 3.37
Gd1 0.3204 0.3204 0.6407  4 Au 2.98
Au1 0.9364 0.9364 0.8727  4 Gd 2.98, 4 Na 3.25



[3]
First-principles (PBE) data for a geometry-optimized NaGdAu2 structure, as listed in Alexandria via LeMat-Bulk.

Properties
Its space group is R-3m, No. 166. The value obtained for the polymorph energy (0 for the lowest one) is 130 meV per atom. Its total energy is -5.950 eV per atom.

abc: 4.0846 4.0846 7.7627
angles: 74.75 74.75 60.00
Closest atoms and distances in Å follow each position.
Positions (direct):
Na1 0.5000 0.5000 0.5000  6 Au 3.05
Gd1 0.0000 0.0000 0.0000  6 Au 2.94
Au1 0.7460 0.7460 0.7620  3 Gd 2.94, 3 Na 3.05
Au2 0.2540 0.2540 0.2380  3 Gd 2.94, 3 Na 3.05



[4]
First-principles (PBE) data for a geometry-optimized Na2GdAu structure, as listed in Alexandria via LeMat-Bulk.

Properties
Its space group is R-3m, No. 166. Its total energy is -4.873 eV per atom.

abc: 3.2843 3.2843 11.6774
angles: 81.92 81.92 60.00
Closest atoms and distances in Å follow each position.
Positions (direct):
Na1 0.0979 0.0979 0.7062  3 Au 3.04, 6 Na 3.28, 1 Gd 3.39
Na2 0.9021 0.9021 0.2938  3 Au 3.04, 6 Na 3.28, 1 Gd 3.39
Gd1 0.0000 0.0000 0.0000  6 Gd 3.28, 2 Na 3.39
Au1 0.5000 0.5000 0.5000  6 Na 3.04, 6 Au 3.28



[5]
First-principles (PBE) data for a geometry-optimized NaGd2Au structure, as listed in Alexandria via LeMat-Bulk.

Properties
Its space group is P4/mmm, No. 123. Its total energy is -8.468 eV per atom.

abc: 3.5936 3.5936 9.2300
angles: 90.00 90.00 90.00
Closest atoms and distances in Å follow each position.
Positions (direct):
Na1 0.5000 0.5000 0.5000  4 Na 3.59, 8 Gd 3.82
Gd1 0.0000 0.0000 0.8083  4 Au 3.10
Gd2 0.0000 0.0000 0.1917  4 Au 3.10
Au1 0.5000 0.5000 0.0000  8 Gd 3.10



[6]
First-principles (PBE) data for a geometry-optimized NaGdAu4 structure, as listed in Alexandria via LeMat-Bulk.

Properties
Its space group is F-43m, No. 216. Its total energy is -5.206 eV per atom.

abc: 5.6313 5.6313 5.6313
angles: 60.00 60.00 60.00
Closest atoms and distances in Å follow each position.
Positions (direct):
Na1 0.2500 0.2500 0.2500  12 Au 3.30, 4 Gd 3.45
Gd1 0.0000 0.0000 0.0000  12 Au 3.30, 4 Na 3.45
Au1 0.6245 0.6245 0.1264  6 Au 2.81-2.83
Au2 0.6245 0.1264 0.6245  6 Au 2.81-2.83
Au3 0.6245 0.6245 0.6245  6 Au 2.81-2.83
Au4 0.1264 0.6245 0.6245  6 Au 2.81-2.83



[7]
First-principles (PBE) data for a geometry-optimized NaGdAu2 structure, as listed in Alexandria via LeMat-Bulk.

Properties
Its space group is P4/mmm, No. 123. The value obtained for the polymorph energy (0 for the lowest one) is 4 meV per atom. Its total energy is -6.076 eV per atom.

abc: 3.6206 3.6206 7.2825
angles: 90.00 90.00 90.00
Closest atoms and distances in Å follow each position.
Positions (direct):
Na1 0.5000 0.5000 0.5000  8 Au 3.24, 4 Na 3.62
Gd1 0.5000 0.5000 0.0000  8 Au 3.05
Au1 0.0000 0.0000 0.7728  4 Gd 3.05, 4 Na 3.24, 1 Au 3.31
Au2 0.0000 0.0000 0.2272  4 Gd 3.05, 4 Na 3.24, 1 Au 3.31



[8]
First-principles (PBE) data for a geometry-optimized NaGdPbAu structure, as listed in Alexandria via LeMat-Bulk.

Properties
Its space group is F-43m, No. 216. Its total energy is -6.027 eV per atom.

abc: 5.2174 5.2174 5.2174
angles: 60.00 60.00 60.00
Closest atoms and distances in Å follow each position.
Positions (direct):
Pb1 0.2500 0.2500 0.2500  4 Na 3.20, 4 Gd 3.20
Na1 0.0000 0.0000 0.0000  4 Pb 3.20, 4 Au 3.20
Gd1 0.5000 0.5000 0.5000  4 Au 3.20, 4 Pb 3.20
Au1 0.7500 0.7500 0.7500  4 Gd 3.20, 4 Na 3.20



[9]
First-principles (PBE) data for a geometry-optimized NaGdPdAu structure, as listed in Alexandria via LeMat-Bulk.

Properties
Its space group is F-43m, No. 216. Its total energy is -6.509 eV per atom.

abc: 4.9556 4.9556 4.9556
angles: 60.00 60.00 60.00
Closest atoms and distances in Å follow each position.
Positions (direct):
Na1 0.2500 0.2500 0.2500  4 Au 3.03, 4 Pd 3.03
Gd1 0.7500 0.7500 0.7500  4 Pd 3.03, 4 Au 3.03
Au1 0.0000 0.0000 0.0000  4 Gd 3.03, 4 Na 3.03
Pd1 0.5000 0.5000 0.5000  4 Gd 3.03, 4 Na 3.03



[10]
First-principles (PBE) data for a geometry-optimized NaGdPtAu structure, as listed in Alexandria via LeMat-Bulk.

Properties
Its space group is F-43m, No. 216. Its total energy is -6.838 eV per atom.

abc: 4.9350 4.9350 4.9350
angles: 60.00 60.00 60.00
Closest atoms and distances in Å follow each position.
Positions (direct):
Na1 0.0000 0.0000 0.0000  4 Au 3.02, 4 Pt 3.02
Gd1 0.5000 0.5000 0.5000  4 Pt 3.02, 4 Au 3.02
Au1 0.2500 0.2500 0.2500  4 Na 3.02, 4 Gd 3.02
Pt1 0.7500 0.7500 0.7500  4 Gd 3.02, 4 Na 3.02



[11]
First-principles (PBE) data for a geometry-optimized NaGdSbAu structure, as listed in Alexandria via LeMat-Bulk.

Properties
Its space group is F-43m, No. 216. For the formation energy without anion corrections, the calculation gives -0.6903 eV/atom. Its total energy is -6.390 eV per atom.

abc: 5.2077 5.2077 5.2077
angles: 60.00 60.00 60.00
Closest atoms and distances in Å follow each position.
Positions (direct):
Sb1 0.5000 0.5000 0.5000  4 Gd 3.19, 4 Na 3.19
Gd1 0.7500 0.7500 0.7500  4 Sb 3.19, 4 Au 3.19
Au1 0.0000 0.0000 0.0000  4 Gd 3.19, 4 Na 3.19
Na1 0.2500 0.2500 0.2500  4 Au 3.19, 4 Sb 3.19



[12]
First-principles (PBE) data for a geometry-optimized NaGdSnAu structure, as listed in Alexandria via LeMat-Bulk.

Properties
Its space group is F-43m, No. 216. Its total energy is -6.169 eV per atom.

abc: 5.1679 5.1679 5.1679
angles: 60.00 60.00 60.00
Closest atoms and distances in Å follow each position.
Positions (direct):
Na1 0.5000 0.5000 0.5000  4 Sn 3.16, 4 Au 3.16
Gd1 0.0000 0.0000 0.0000  4 Sn 3.16, 4 Au 3.16
Au1 0.7500 0.7500 0.7500  4 Na 3.16, 4 Gd 3.16
Sn1 0.2500 0.2500 0.2500  4 Gd 3.16, 4 Na 3.16



[13]
First-principles (PBE) data for a geometry-optimized NaGdZnAu structure, as listed in Alexandria via LeMat-Bulk.

Properties
Its space group is F-43m, No. 216. Its total energy is -5.321 eV per atom.

abc: 5.0140 5.0140 5.0140
angles: 60.00 60.00 60.00
Closest atoms and distances in Å follow each position.
Positions (direct):
Na1 0.7500 0.7500 0.7500  4 Au 3.07, 4 Zn 3.07
Zn1 0.0000 0.0000 0.0000  4 Gd 3.07, 4 Na 3.07
Gd1 0.2500 0.2500 0.2500  4 Au 3.07, 4 Zn 3.07
Au1 0.5000 0.5000 0.5000  4 Na 3.07, 4 Gd 3.07



[14]
First-principles (PBE) data for a geometry-optimized Nd2GdAu structure, as listed in Alexandria via LeMat-Bulk.

Properties
Its space group is R-3m, No. 166. The value obtained for the polymorph energy (0 for the lowest one) is 108 meV per atom. Its total energy is -6.964 eV per atom.

abc: 3.7435 3.7435 10.5344
angles: 79.77 79.77 60.00
Closest atoms and distances in Å follow each position.
Positions (direct):
Nd1 0.2617 0.2617 0.2148  3 Au 3.09
Nd2 0.7383 0.7383 0.7852  3 Au 3.09
Gd1 0.5000 0.5000 0.5000  6 Nd 3.65, 6 Gd 3.74
Au1 0.0000 0.0000 0.0000  6 Nd 3.09



[15]
First-principles (PBE) data for a geometry-optimized NdGd2Au structure, as listed in Alexandria via LeMat-Bulk.

Properties
Its space group is R-3m, No. 166. The value obtained for the polymorph energy (0 for the lowest one) is 119 meV per atom. Its total energy is -9.331 eV per atom.

abc: 3.7342 3.7342 10.3926
angles: 79.65 79.65 60.00
Closest atoms and distances in Å follow each position.
Positions (direct):
Nd1 0.5000 0.5000 0.5000  6 Gd 3.67, 6 Nd 3.73
Gd1 0.2640 0.2640 0.2080  3 Au 3.02
Gd2 0.7360 0.7360 0.7920  3 Au 3.02
Au1 0.0000 0.0000 0.0000  6 Gd 3.02



[16]
First-principles (PBE) data for a geometry-optimized NdGd2Au structure, as listed in Alexandria via LeMat-Bulk.

Properties
Its space group is P4/mmm, No. 123. The value obtained for the polymorph energy (0 for the lowest one) is 0 meV per atom. Its total energy is -9.450 eV per atom.

abc: 3.6641 3.6641 8.6617
angles: 90.00 90.00 90.00
Closest atoms and distances in Å follow each position.
Positions (direct):
Nd1 0.5000 0.5000 0.5000  8 Gd 3.65, 4 Nd 3.66
Gd1 0.0000 0.0000 0.7962  4 Au 3.13
Gd2 0.0000 0.0000 0.2038  4 Au 3.13
Au1 0.5000 0.5000 0.0000  8 Gd 3.13